A crystal of Er2Al4CoGe2 relaxed with PBEsol, computed with meta-GGA SCAN. Values from VASP.

Quantum ESPRESSO input file:
```
&SYSTEM
  ibrav = 0, nat = 9, ntyp = 4
/
ATOMIC_SPECIES
Er 167.26 Er.upf
Al 26.98 Al.upf
Co 58.93 Co.upf
Ge 72.64 Ge.upf
CELL_PARAMETERS angstrom
-2.030 2.030 9.618
2.030 -2.030 9.618
2.030 2.030 -9.618
ATOMIC_POSITIONS angstrom
Er 0.000 0.000 3.559
Er 0.000 0.000 15.676
Al 2.030 0.000 1.278
Al 2.030 0.000 8.340
Al 0.000 2.030 1.278
Al 0.000 2.030 8.340
Co 0.000 0.000 0.000
Ge 0.000 0.000 6.443
Ge 0.000 0.000 12.792
```

Results
Its total magnetization is 0.001 μB/cell. Its volume is 17.6 Å³/atom. For the formation enthalpy at 0 K, the calculation gives -0.67 eV per atom. The energy comes out at -193.23 eV/cell. For the density of states at the Fermi level, the calculation gives 0.24 states/eV per atom.

A crystal of EuAl9Co2 relaxed with PBEsol, computed with meta-GGA SCAN. Values from VASP.

Quantum ESPRESSO input file:
```
&SYSTEM
  ibrav = 0, nat = 12, ntyp = 3
/
ATOMIC_SPECIES
Eu 151.96 Eu.upf
Al 26.98 Al.upf
Co 58.93 Co.upf
CELL_PARAMETERS angstrom
7.816 0.000 0.000
-3.908 6.769 0.000
0.000 0.000 3.842
ATOMIC_POSITIONS angstrom
Eu 0.000 0.000 0.000
Al -1.954 3.385 0.000
Al 0.000 2.879 1.921
Al -1.415 5.330 1.921
Al 2.493 1.439 1.921
Al 3.908 0.000 0.000
Al 1.954 3.385 0.000
Al 1.415 5.330 1.921
Al 5.323 1.439 1.921
Al 3.908 3.890 1.921
Co 0.000 4.513 0.000
Co 3.908 2.256 0.000
```

Results
Its total magnetization is 7.003 μB/cell. Its volume is 16.9 Å³/atom. For the formation enthalpy at 0 K, the calculation gives -0.43 eV per atom. The energy comes out at -163.25 eV/cell. For the density of states at the Fermi level, the calculation gives 0.66 states/eV per atom.